Entry 1:
Entry from Alexandria: a relaxed AsPbAu crystal (PBEsol).

Values from the calculation:
As for the density: 11.9 Mg/m³. The calculation puts the energy above the most stable polymorph in this dataset at 165 meV per atom. The total energy is -4.224 eV per atom.

Cell and atoms, written as CIF:
```
data_AsPbAu
_cell_length_a 3.2296
_cell_length_b 3.7415
_cell_length_c 11.0485
_cell_angle_alpha 90.00
_cell_angle_beta 90.00
_cell_angle_gamma 90.00
_symmetry_space_group_name_H-M 'I m m 2'
_symmetry_Int_Tables_number 44
_symmetry_space_group_name_Hall 'I 2 -2'
loop_
_atom_site_label
_atom_site_fract_x
_atom_site_fract_y
_atom_site_fract_z
_atom_site_occupancy
As1 0.0000 0.0000 0.0000 1
Pb1 0.0000 0.0000 0.7103 1
Au1 0.0000 0.0000 0.4016 1
```

=====

Entry 2:
Entry from Alexandria: a relaxed Y2Al crystal (PBEsol).

Values from the calculation:
As for the density: 4.8 Mg/m³. The total energy is -5.936 eV per atom.

Cell and atoms, written as CIF:
```
data_Y2Al
_cell_length_a 5.1328
_cell_length_b 5.1328
_cell_length_c 3.1325
_cell_angle_alpha 90.00
_cell_angle_beta 90.00
_cell_angle_gamma 120.00
_symmetry_space_group_name_H-M 'P 6/m m m'
_symmetry_Int_Tables_number 191
_symmetry_space_group_name_Hall '-P 6 2'
loop_
_atom_site_label
_atom_site_fract_x
_atom_site_fract_y
_atom_site_fract_z
_atom_site_occupancy
Y1 0.3333 0.6667 0.0000 1
Al1 0.0000 0.0000 0.5000 1
```

=====

Entry 3:
Entry from Alexandria: a relaxed InRhBr2 crystal (PBEsol).

Values from the calculation:
As for the density: 7.3 Mg/m³. The calculation puts the energy above the most stable polymorph in this dataset at 533 meV per atom. For the formation energy without anion corrections, the calculation gives 311 meV/atom. The total energy is -3.404 eV per atom.

Cell and atoms, written as CIF:
```
data_InRhBr2
_cell_length_a 3.9604
_cell_length_b 3.9604
_cell_length_c 10.9756
_cell_angle_alpha 90.00
_cell_angle_beta 90.00
_cell_angle_gamma 90.00
_symmetry_space_group_name_H-M 'I -4 m 2'
_symmetry_Int_Tables_number 119
_symmetry_space_group_name_Hall 'I -4 -2'
loop_
_atom_site_label
_atom_site_fract_x
_atom_site_fract_y
_atom_site_fract_z
_atom_site_occupancy
In1 0.0000 0.0000 0.0000 1
Rh1 0.0000 0.5000 0.2500 1
Br1 0.0000 0.0000 0.5000 1
Br2 0.0000 0.5000 0.7500 1
```

=====

Entry 4:
Entry from Alexandria: a relaxed BaCr2Cu crystal (PBEsol).

Values from the calculation:
As for the density: 5.8 Mg/m³. The calculation puts the energy above the most stable polymorph in this dataset at 400 meV per atom. The total energy is -5.546 eV per atom.

Cell and atoms, written as CIF:
```
data_BaCr2Cu
_cell_length_a 4.4895
_cell_length_b 4.4895
_cell_length_c 8.5924
_cell_angle_alpha 90.00
_cell_angle_beta 90.00
_cell_angle_gamma 90.00
_symmetry_space_group_name_H-M 'I 4/m m m'
_symmetry_Int_Tables_number 139
_symmetry_space_group_name_Hall '-I 4 2'
loop_
_atom_site_label
_atom_site_fract_x
_atom_site_fract_y
_atom_site_fract_z
_atom_site_occupancy
Ba1 0.0000 0.0000 0.0000 1
Cr1 0.0000 0.5000 0.2500 1
Cu1 0.0000 0.0000 0.5000 1
```

=====

Entry 5:
Entry from Alexandria: a relaxed Ta2GaSnAs crystal (PBEsol).

Values from the calculation:
As for the density: 9.3 Mg/m³. The total energy is -6.175 eV per atom.

Cell and atoms, written as CIF:
```
data_Ta2GaSnAs
_cell_length_a 4.8313
_cell_length_b 4.8313
_cell_length_c 4.7863
_cell_angle_alpha 90.00
_cell_angle_beta 90.00
_cell_angle_gamma 90.00
_symmetry_space_group_name_H-M 'P 4/m m m'
_symmetry_Int_Tables_number 123
_symmetry_space_group_name_Hall '-P 4 2'
loop_
_atom_site_label
_atom_site_fract_x
_atom_site_fract_y
_atom_site_fract_z
_atom_site_occupancy
Ta1 0.0000 0.5000 0.0000 1
Ga1 0.0000 0.0000 0.0000 1
Sn1 0.0000 0.0000 0.5000 1
As1 0.5000 0.5000 0.5000 1
```

=====

Entry 6:
Entry from Alexandria: a relaxed TbErTe2 crystal (PBEsol).

Values from the calculation:
As for the density: 8.7 Mg/m³. For the formation energy without anion corrections, the calculation gives -1306 meV/atom. The total energy is -5.554 eV per atom.

Cell and atoms, written as CIF:
```
data_TbErTe2
_cell_length_a 4.2743
_cell_length_b 4.2743
_cell_length_c 6.0568
_cell_angle_alpha 90.00
_cell_angle_beta 90.00
_cell_angle_gamma 90.00
_symmetry_space_group_name_H-M 'P 4/m m m'
_symmetry_Int_Tables_number 123
_symmetry_space_group_name_Hall '-P 4 2'
loop_
_atom_site_label
_atom_site_fract_x
_atom_site_fract_y
_atom_site_fract_z
_atom_site_occupancy
Tb1 0.0000 0.0000 0.0000 1
Er1 0.5000 0.5000 0.5000 1
Te1 0.0000 0.0000 0.5000 1
Te2 0.5000 0.5000 0.0000 1
```